# TmScIn4Pt2

An optimized crystal structure of TmScIn4Pt2 (PBE-GGA, OQMD via LeMat-Bulk).

Lattice parameters (Å, degrees): 7.359 4.446 10.367 90.00 90.00 90.00
Space group Amm2 (No. 38)
Asymmetric unit:
1 Tm 0.000 0.000 0.000 (multiplicity 2)
2 Sc 0.500 0.000 0.851 (multiplicity 2)
3 In 0.208 0.000 0.290 (multiplicity 4)
4 In 0.299 0.000 0.561 (multiplicity 4)
5 Pt 0.000 0.000 0.717 (multiplicity 2)
6 Pt 0.500 0.000 0.129 (multiplicity 2)



# Cs2TmZrS4

An optimized crystal structure of Cs2TmZrS4 (PBE-GGA, OQMD via LeMat-Bulk).

Lattice parameters (Å, degrees): 3.9300 3.9300 16.0475 90.00 90.00 120.00
Space group P-3m1 (No. 164)
Asymmetric unit:
1 Cs 0.3333 0.6667 0.2524 (multiplicity 2)
2 Tm 0.0000 0.0000 0.0000 (multiplicity 1)
3 Zr 0.0000 0.0000 0.5000 (multiplicity 1)
4 S 0.3333 0.6667 0.5891 (multiplicity 2)
5 S 0.3333 0.6667 0.9072 (multiplicity 2)



# SmBeF4

An optimized crystal structure of SmBeF4 (PBE-GGA, OQMD via LeMat-Bulk).

Properties
* energy relative to the lowest polymorph listed for this composition: 7 meV/atom

Lattice parameters (Å, degrees): 8.149 6.632 5.056 90.00 90.00 90.00
Space group Pna2_1 (No. 33)
Asymmetric unit:
1 Sm 0.142 0.100 0.000 (multiplicity 4)
2 Be 0.053 0.637 0.951 (multiplicity 4)
3 F 0.094 0.765 0.200 (multiplicity 4)
4 F 0.106 0.773 0.709 (multiplicity 4)
5 F 0.131 0.396 0.420 (multiplicity 4)
6 F 0.155 0.447 0.921 (multiplicity 4)



# Hg2BiO4

An optimized crystal structure of Hg2BiO4 (PBE-GGA, OQMD via LeMat-Bulk).

Lattice parameters (Å, degrees): 9.677 9.677 9.677 90.00 90.00 90.00
Space group Fd-3m (No. 227, origin choice 2)
Asymmetric unit:
1 Hg 0.000 0.000 0.000 (multiplicity 16)
2 Bi 0.125 0.125 0.625 (multiplicity 8)
3 O 0.002 0.002 0.248 (multiplicity 32)



no.,electronic total energy (eV per cell)
1,-78.4
2,-44.2
3,-140.0
4,-222.0